[1]
This record from Alexandria via LeMat-Bulk describes a geometry-optimized NbZnH2 structure. The functional is PBE. Values from VASP.

## Properties
The energy above the most stable polymorph in this dataset is 1.53 eV/f.u. Its raw total energy is -16.6 eV per cell.

Structure (Quantum ESPRESSO input):
```
&SYSTEM
  ibrav = 0, nat = 4, ntyp = 3
/
ATOMIC_SPECIES
H 1.01 H.upf
Zn 65.41 Zn.upf
Nb 92.91 Nb.upf
CELL_PARAMETERS angstrom
2.756 -2.341 -1.012
2.614 -1.014 2.498
0.064 -3.511 1.330
ATOMIC_POSITIONS angstrom
H 1.359 -1.716 0.704
Zn 0.000 0.000 0.000
H 4.076 -5.149 2.112
Nb 2.717 -3.433 1.408
```

***

[2]
This record from Alexandria via LeMat-Bulk describes a geometry-optimized NbZnH structure. The functional is PBE. Values from VASP.

## Properties
The energy above the most stable polymorph in this dataset is 0.12 eV/f.u. Its raw total energy is -60.3 eV per cell.

Structure (Quantum ESPRESSO input):
```
&SYSTEM
  ibrav = 0, nat = 12, ntyp = 3
/
ATOMIC_SPECIES
Nb 92.91 Nb.upf
H 1.01 H.upf
Zn 65.41 Zn.upf
CELL_PARAMETERS angstrom
6.812 0.000 0.000
0.000 3.730 0.000
0.000 0.000 5.382
ATOMIC_POSITIONS angstrom
Nb 4.534 2.798 3.308
Nb 5.683 0.933 0.616
Nb 1.129 2.798 4.766
H 5.927 2.798 5.081
H 2.521 2.798 2.992
Nb 2.277 0.933 2.075
Zn 3.124 0.933 4.687
H 0.885 0.933 0.301
H 4.290 0.933 2.390
Zn 3.687 2.798 0.695
Zn 6.530 0.933 3.386
Zn 0.282 2.798 1.996
```

***

[3]
This record from Alexandria via LeMat-Bulk describes a geometry-optimized Nb2ZnH structure. The functional is PBE. Values from VASP.

## Properties
The energy above the most stable polymorph in this dataset is 2.43 eV/f.u. Its raw total energy is -45.2 eV per cell.

Structure (Quantum ESPRESSO input):
```
&SYSTEM
  ibrav = 0, nat = 8, ntyp = 3
/
ATOMIC_SPECIES
Zn 65.41 Zn.upf
Nb 92.91 Nb.upf
H 1.01 H.upf
CELL_PARAMETERS angstrom
-3.969 -0.593 3.287
-1.722 -4.011 -2.804
-0.169 -5.330 2.928
ATOMIC_POSITIONS angstrom
Zn -3.492 -4.112 3.228
Nb -2.022 -2.097 1.843
Nb -4.796 -7.302 3.125
H -2.846 -2.302 0.242
Nb -2.331 -4.020 -0.016
H -2.369 -5.821 0.183
Zn 0.000 0.000 0.000
Nb -2.572 -6.447 1.871
```

***

[4]
This record from Alexandria via LeMat-Bulk describes a geometry-optimized NbZnH structure. The functional is PBE. Values from VASP.

## Properties
The energy above the most stable polymorph in this dataset is 0.29 eV/f.u. Its raw total energy is -29.8 eV per cell.

Structure (Quantum ESPRESSO input):
```
&SYSTEM
  ibrav = 0, nat = 6, ntyp = 3
/
ATOMIC_SPECIES
Zn 65.41 Zn.upf
H 1.01 H.upf
Nb 92.91 Nb.upf
CELL_PARAMETERS angstrom
-5.017 -1.565 1.248
1.995 -5.032 -1.235
-0.966 -0.347 2.797
ATOMIC_POSITIONS angstrom
Zn -1.232 -2.321 2.079
H -1.126 -4.975 0.481
Nb 0.458 -4.659 -0.496
H -4.030 -5.906 2.537
Nb -3.421 -4.119 2.671
Zn -3.630 -1.725 1.319
```

***

[5]
This record from Alexandria via LeMat-Bulk describes a geometry-optimized NbZn2H2 structure. The functional is PBE. Values from VASP.

## Properties
Its raw total energy is -38.2 eV per cell.

Structure (Quantum ESPRESSO input):
```
&SYSTEM
  ibrav = 0, nat = 10, ntyp = 3
/
ATOMIC_SPECIES
Zn 65.41 Zn.upf
H 1.01 H.upf
Nb 92.91 Nb.upf
CELL_PARAMETERS angstrom
-0.284 -0.982 -5.395
3.856 -3.876 0.502
-2.748 -2.652 0.627
ATOMIC_POSITIONS angstrom
Zn -0.403 -2.595 -0.799
H 1.157 -1.399 -0.847
Nb 0.000 0.000 0.000
H 2.415 -3.459 -4.045
Nb 1.786 -2.429 -2.446
Zn 1.228 -4.915 -3.466
H 0.523 -1.396 -3.609
Zn -0.690 -2.941 -3.515
H 3.049 -3.462 -1.284
Zn 1.514 -4.570 -0.750
```

***

[6]
This record from Alexandria via LeMat-Bulk describes a geometry-optimized NbZn2H structure. The functional is PBE. Values from VASP.

## Properties
The energy above the most stable polymorph in this dataset is 0.00 eV/f.u. Its raw total energy is -28.6 eV per cell.

Structure (Quantum ESPRESSO input):
```
&SYSTEM
  ibrav = 0, nat = 8, ntyp = 3
/
ATOMIC_SPECIES
Nb 92.91 Nb.upf
Zn 65.41 Zn.upf
H 1.01 H.upf
CELL_PARAMETERS angstrom
-0.615 4.924 2.118
-0.334 -2.163 4.931
3.112 1.670 3.894
ATOMIC_POSITIONS angstrom
Nb 1.011 3.987 4.768
Zn 1.922 1.924 6.393
Zn 1.559 4.032 8.259
Nb 0.000 0.000 0.000
Zn 0.389 0.509 4.676
H 1.152 0.444 6.175
Zn 0.455 2.396 2.557
H -0.475 1.380 3.524
```

***

Please write out number 2 again, unchanged.
This record from Alexandria via LeMat-Bulk describes a geometry-optimized NbZnH structure. The functional is PBE. Values from VASP.

## Properties
The energy above the most stable polymorph in this dataset is 0.12 eV/f.u. Its raw total energy is -60.3 eV per cell.

Structure (Quantum ESPRESSO input):
```
&SYSTEM
  ibrav = 0, nat = 12, ntyp = 3
/
ATOMIC_SPECIES
Nb 92.91 Nb.upf
H 1.01 H.upf
Zn 65.41 Zn.upf
CELL_PARAMETERS angstrom
6.812 0.000 0.000
0.000 3.730 0.000
0.000 0.000 5.382
ATOMIC_POSITIONS angstrom
Nb 4.534 2.798 3.308
Nb 5.683 0.933 0.616
Nb 1.129 2.798 4.766
H 5.927 2.798 5.081
H 2.521 2.798 2.992
Nb 2.277 0.933 2.075
Zn 3.124 0.933 4.687
H 0.885 0.933 0.301
H 4.290 0.933 2.390
Zn 3.687 2.798 0.695
Zn 6.530 0.933 3.386
Zn 0.282 2.798 1.996
```

***

Q: Which of these has the lowest raw total energy?
A: number 2